A geometry-optimized SmPaNi3 structure. Source: Alexandria, functional PBE.

Cell and atoms, written as CIF:
```
data_SmPaNi3
_chemical_formula_sum 'Sm2 Pa2 Ni6'
_space_group_name_H-M_alt 'P 1'
_space_group_IT_number 1
_space_group_name_Hall 'P 1'
_cell_length_a 5.358
_cell_length_b 5.342
_cell_length_c 6.391
_cell_angle_alpha 90.00
_cell_angle_beta 90.00
_cell_angle_gamma 100.27
loop_
_atom_site_label
_atom_site_type_symbol
_atom_site_fract_x
_atom_site_fract_y
_atom_site_fract_z
Pa1 Pa 0.587 0.831 0.750
Pa2 Pa 0.413 0.169 0.250
Sm1 Sm 0.849 0.762 0.250
Sm2 Sm 0.151 0.238 0.750
Ni1 Ni 0.975 0.283 0.250
Ni2 Ni 0.687 0.350 0.942
Ni3 Ni 0.313 0.650 0.058
Ni4 Ni 0.313 0.650 0.442
Ni5 Ni 0.025 0.717 0.750
Ni6 Ni 0.687 0.350 0.558
```

- energy of formation from the pure elements (kJ per mole of atoms) = -29.93
- uncorrected energy (eV per atom) = -6.62

***

A geometry-optimized Cu7Pd5 structure. Source: Alexandria, functional PBE.

Cell and atoms, written as CIF:
```
data_Cu7Pd5
_chemical_formula_sum 'Cu7 Pd5'
_space_group_name_H-M_alt 'P 1'
_space_group_IT_number 1
_space_group_name_Hall 'P 1'
_cell_length_a 2.729
_cell_length_b 6.954
_cell_length_c 9.092
_cell_angle_alpha 75.04
_cell_angle_beta 81.37
_cell_angle_gamma 78.69
loop_
_atom_site_label
_atom_site_type_symbol
_atom_site_fract_x
_atom_site_fract_y
_atom_site_fract_z
Pd1 Pd 0.701 0.356 0.242
Pd2 Pd 0.299 0.644 0.758
Pd3 Pd 0.000 0.000 0.000
Pd4 Pd 0.160 0.172 0.507
Pd5 Pd 0.840 0.828 0.493
Cu1 Cu 0.968 0.311 0.753
Cu2 Cu 0.632 0.984 0.751
Cu3 Cu 0.334 0.336 0.995
Cu4 Cu 0.666 0.664 0.005
Cu5 Cu 0.368 0.016 0.249
Cu6 Cu 0.032 0.689 0.247
Cu7 Cu 0.500 0.500 0.500
```

- energy of formation from the pure elements (kJ per mole of atoms) = -8.46
- relative energy among the computed polymorphs (meV/atom) = 10.5
- uncorrected energy (eV per atom) = -4.64

***

A geometry-optimized BaAlOs2 structure. Source: Alexandria, functional PBE.

Cell and atoms, written as CIF:
```
data_BaAlOs2
_chemical_formula_sum 'Ba1 Al1 Os2'
_space_group_name_H-M_alt 'P 1'
_space_group_IT_number 1
_space_group_name_Hall 'P 1'
_cell_length_a 3.008
_cell_length_b 3.008
_cell_length_c 8.702
_cell_angle_alpha 90.00
_cell_angle_beta 90.00
_cell_angle_gamma 90.00
loop_
_atom_site_label
_atom_site_type_symbol
_atom_site_fract_x
_atom_site_fract_y
_atom_site_fract_z
Os1 Os 0.500 0.500 0.243
Os2 Os 0.000 0.000 0.066
Al1 Al 0.000 0.000 0.434
Ba1 Ba 0.500 0.500 0.758
```

- energy of formation from the pure elements (kJ per mole of atoms) = 36.57
- uncorrected energy (eV per atom) = -6.65

***

A geometry-optimized GeBi3Pt structure. Source: Alexandria, functional PBE.

Cell and atoms, written as CIF:
```
data_GeBi3Pt
_chemical_formula_sum 'Ge1 Bi3 Pt1'
_space_group_name_H-M_alt 'P 1'
_space_group_IT_number 1
_space_group_name_Hall 'P 1'
_cell_length_a 5.393
_cell_length_b 5.393
_cell_length_c 5.393
_cell_angle_alpha 90.00
_cell_angle_beta 90.00
_cell_angle_gamma 90.00
loop_
_atom_site_label
_atom_site_type_symbol
_atom_site_fract_x
_atom_site_fract_y
_atom_site_fract_z
Ge1 Ge 0.000 0.000 0.000
Bi1 Bi 0.000 0.000 0.500
Bi2 Bi 0.000 0.500 0.000
Bi3 Bi 0.500 0.000 0.000
Pt1 Pt 0.500 0.500 0.500
```

- energy of formation from the pure elements (kJ per mole of atoms) = 92.17
- relative energy among the computed polymorphs (meV/atom) = 462.5
- uncorrected energy (eV per atom) = -3.50

***

A geometry-optimized CeNd2Hg structure. Source: Alexandria, functional PBE.

Cell and atoms, written as CIF:
```
data_CeNd2Hg
_chemical_formula_sum 'Ce1 Nd2 Hg1'
_space_group_name_H-M_alt 'P 1'
_space_group_IT_number 1
_space_group_name_Hall 'P 1'
_cell_length_a 4.779
_cell_length_b 4.968
_cell_length_c 4.968
_cell_angle_alpha 90.00
_cell_angle_beta 90.00
_cell_angle_gamma 90.00
loop_
_atom_site_label
_atom_site_type_symbol
_atom_site_fract_x
_atom_site_fract_y
_atom_site_fract_z
Ce1 Ce 0.500 0.500 0.500
Nd1 Nd 0.000 0.000 0.500
Nd2 Nd 0.000 0.500 0.000
Hg1 Hg 0.500 0.000 0.000
```

- energy of formation from the pure elements (kJ per mole of atoms) = -11.33
- relative energy among the computed polymorphs (meV/atom) = 74.1
- uncorrected energy (eV per atom) = -4.06

***

A geometry-optimized TmLuTl2 structure. Source: Alexandria, functional PBE.

Cell and atoms, written as CIF:
```
data_TmLuTl2
_chemical_formula_sum 'Tm1 Lu1 Tl2'
_space_group_name_H-M_alt 'P 1'
_space_group_IT_number 1
_space_group_name_Hall 'P 1'
_cell_length_a 3.564
_cell_length_b 3.564
_cell_length_c 8.285
_cell_angle_alpha 90.00
_cell_angle_beta 90.00
_cell_angle_gamma 90.00
loop_
_atom_site_label
_atom_site_type_symbol
_atom_site_fract_x
_atom_site_fract_y
_atom_site_fract_z
Tl1 Tl 0.000 0.000 0.249
Tl2 Tl 0.000 0.000 0.751
Lu1 Lu 0.500 0.500 0.000
Tm1 Tm 0.500 0.500 0.500
```

- energy of formation from the pure elements (kJ per mole of atoms) = -27.04
- relative energy among the computed polymorphs (meV/atom) = 0.0
- uncorrected energy (eV per atom) = -3.71

***

A geometry-optimized SrSbCl6 structure. Source: Alexandria, functional PBE.

Cell and atoms, written as CIF:
```
data_SrSbCl6
_chemical_formula_sum 'Sr1 Sb1 Cl6'
_space_group_name_H-M_alt 'P 1'
_space_group_IT_number 1
_space_group_name_Hall 'P 1'
_cell_length_a 6.773
_cell_length_b 6.774
_cell_length_c 7.359
_cell_angle_alpha 62.59
_cell_angle_beta 62.59
_cell_angle_gamma 59.98
loop_
_atom_site_label
_atom_site_type_symbol
_atom_site_fract_x
_atom_site_fract_y
_atom_site_fract_z
Cl1 Cl 0.942 0.604 0.234
Cl2 Cl 0.220 0.942 0.234
Cl3 Cl 0.604 0.220 0.234
Cl4 Cl 0.058 0.396 0.766
Cl5 Cl 0.780 0.058 0.766
Cl6 Cl 0.396 0.780 0.766
Sb1 Sb 0.000 0.000 0.000
Sr1 Sr 0.500 0.500 0.500
```

- uncorrected energy (eV per atom) = -3.43

***

A geometry-optimized RbGa3Ge3 structure. Source: Alexandria, functional PBE.

Cell and atoms, written as CIF:
```
data_RbGa3Ge3
_chemical_formula_sum 'Rb2 Ga6 Ge6'
_space_group_name_H-M_alt 'P 1'
_space_group_IT_number 1
_space_group_name_Hall 'P 1'
_cell_length_a 7.182
_cell_length_b 7.182
_cell_length_c 7.182
_cell_angle_alpha 90.00
_cell_angle_beta 90.00
_cell_angle_gamma 90.00
loop_
_atom_site_label
_atom_site_type_symbol
_atom_site_fract_x
_atom_site_fract_y
_atom_site_fract_z
Ga1 Ga 0.000 0.750 0.500
Ga2 Ga 0.000 0.250 0.500
Ga3 Ga 0.500 0.000 0.250
Ga4 Ga 0.750 0.500 0.000
Ga5 Ga 0.250 0.500 0.000
Ga6 Ga 0.500 0.000 0.750
Ge1 Ge 0.000 0.500 0.750
Ge2 Ge 0.250 0.000 0.500
Ge3 Ge 0.500 0.250 0.000
Ge4 Ge 0.500 0.750 0.000
Ge5 Ge 0.750 0.000 0.500
Ge6 Ge 0.000 0.500 0.250
Rb1 Rb 0.000 0.000 0.000
Rb2 Rb 0.500 0.500 0.500
```

- energy of formation from the pure elements (kJ per mole of atoms) = -6.29
- relative energy among the computed polymorphs (meV/atom) = 0.0
- uncorrected energy (eV per atom) = -3.48